Crystalline Hf2NiC2 at its relaxed geometry, computed with PBE.

Values from the calculation:
V, A^3/atom: 12.6
Electronic total energy, eV per atom: -8.655

Structure (CIF):
```
data_Hf2NiC2
_chemical_formula_sum 'Hf4 Ni2 C4'
_cell_length_a 4.8390
_cell_length_b 4.8390
_cell_length_c 5.3911
_cell_angle_alpha 90.00
_cell_angle_beta 90.00
_cell_angle_gamma 90.00
_space_group_name_H-M_alt 'I 4/m m m'
_space_group_IT_number 139
_space_group_name_Hall '-I 4 2'
loop_
_atom_site_label
_atom_site_type_symbol
_atom_site_fract_x
_atom_site_fract_y
_atom_site_fract_z
Hf1 Hf 0.0000 0.5000 0.2500
Ni1 Ni 0.0000 0.0000 0.0000
C1 C 0.0000 0.0000 0.3667
```